Ca2PAu after structural relaxation. Source: Alexandria via LeMat-Bulk, functional GGA-PBE.

Lattice parameters (Å, degrees): 7.2599 7.2599 7.2599 86.24 121.91 122.48
Sites, in units of the cell vectors:
Ca 0.0000 0.7613 0.7613
Ca 0.0000 0.2387 0.2387
P 0.0000 0.0000 0.0000
Au 0.0000 0.5000 0.5000

Space-group type: Immm
Energy, eV per atom: -2.66